No. 1
{
  "formula": "BeReRuW",
  "functional": "PBE-GGA",
  "state": "relaxed",
  "mass_density_g_cm3": 14.424,
  "vol_a3_per_cell": 55.3,
  "dft_energy_ev_per_atom": -9.612,
  "total_magnetization_mub_per_fu": 0.0,
  "lattice": [[4.276, 0.000, 0.000], [2.138, 3.703, 0.000], [2.138, 1.234, 3.491]],
  "species": ["Ru", "Re", "Be", "W"],
  "frac_coords": [[0.250, 0.250, 0.250], [0.750, 0.750, 0.750], [0.500, 0.500, 0.500], [0.000, 0.000, 0.000]]
}



No. 2
{
  "formula": "Be2ZnReRu",
  "functional": "PBE-GGA",
  "state": "relaxed",
  "mass_density_g_cm3": 8.637,
  "vol_a3_per_cell": 71.3,
  "dft_energy_ev_per_atom": -4.752,
  "total_magnetization_mub_per_fu": 1.9,
  "lattice": [[-2.104, 3.238, 0.958], [-2.688, -0.698, -3.544], [-2.400, -2.228, 2.259]],
  "species": ["Be", "Be", "Ru", "Zn", "Re"],
  "frac_coords": [[0.000, 0.000, 0.500], [0.500, 0.000, 0.000], [0.000, 0.500, 0.000], [0.000, 0.000, 0.000], [0.500, 0.500, 0.500]]
}



No. 3
{
  "formula": "ZrBeRe2Ru",
  "functional": "PBE-GGA",
  "state": "relaxed",
  "mass_density_g_cm3": 8.753,
  "vol_a3_per_cell": 108.8,
  "dft_energy_ev_per_atom": -6.663,
  "total_magnetization_mub_per_fu": 2.0,
  "lattice": [[-4.473, -1.059, -1.376], [0.671, -4.500, 1.282], [-1.597, 1.017, 4.409]],
  "species": ["Re", "Re", "Be", "Ru", "Zr"],
  "frac_coords": [[0.500, 0.000, 0.000], [0.000, 0.000, 0.500], [0.500, 0.500, 0.500], [0.000, 0.500, 0.000], [0.000, 0.000, 0.000]]
}



No. 4
{
  "formula": "BeRe3S",
  "functional": "PBE-GGA",
  "state": "relaxed",
  "mass_density_g_cm3": 12.383,
  "vol_a3_per_cell": 80.4,
  "dft_energy_ev_per_atom": -7.839,
  "de_polymorph_mev_per_atom": 0.0,
  "raw_formation_energy_ev_per_atom": 1.200,
  "total_magnetization_mub_per_fu": 0.0,
  "lattice": [[4.316, 0.000, 0.000], [0.000, 4.316, 0.000], [0.000, 0.000, 4.316]],
  "species": ["Re", "Re", "Re", "S", "Be"],
  "frac_coords": [[0.500, 0.000, 0.000], [0.000, 0.500, 0.000], [0.000, 0.000, 0.500], [0.000, 0.000, 0.000], [0.500, 0.500, 0.500]]
}



No. 5
{
  "formula": "Be3ReS",
  "functional": "PBE-GGA",
  "state": "relaxed",
  "mass_density_g_cm3": 5.141,
  "vol_a3_per_cell": 79.2,
  "dft_energy_ev_per_atom": -4.140,
  "de_polymorph_mev_per_atom": 423.5,
  "raw_formation_energy_ev_per_atom": 1.411,
  "total_magnetization_mub_per_fu": 1.0,
  "lattice": [[4.295, 0.000, 0.000], [0.000, 4.295, 0.000], [0.000, 0.000, 4.295]],
  "species": ["Be", "Be", "Be", "S", "Re"],
  "frac_coords": [[0.500, 0.000, 0.000], [0.000, 0.500, 0.000], [0.000, 0.000, 0.500], [0.500, 0.500, 0.500], [0.000, 0.000, 0.000]]
}



No. 6
{
  "formula": "Be3ReS",
  "functional": "PBE-GGA",
  "state": "relaxed",
  "mass_density_g_cm3": 6.622,
  "vol_a3_per_cell": 61.5,
  "dft_energy_ev_per_atom": -4.564,
  "de_polymorph_mev_per_atom": 0.0,
  "raw_formation_energy_ev_per_atom": 0.987,
  "total_magnetization_mub_per_fu": 0.0,
  "lattice": [[3.947, 0.000, 0.000], [0.000, 3.947, 0.000], [0.000, 0.000, 3.947]],
  "species": ["Be", "Be", "Be", "S", "Re"],
  "frac_coords": [[0.000, 0.000, 0.500], [0.500, 0.000, 0.000], [0.000, 0.500, 0.000], [0.000, 0.000, 0.000], [0.500, 0.500, 0.500]]
}



No. 7
{
  "formula": "BeReSb2",
  "functional": "PBE-GGA",
  "state": "relaxed",
  "mass_density_g_cm3": 9.979,
  "vol_a3_per_cell": 73.0,
  "dft_energy_ev_per_atom": -5.186,
  "raw_formation_energy_ev_per_atom": 0.918,
  "total_magnetization_mub_per_fu": 0.0,
  "lattice": [[-0.107, -0.816, 5.195], [-2.859, -4.181, 1.416], [3.820, 0.828, -3.520]],
  "species": ["Sb", "Sb", "Be", "Re"],
  "frac_coords": [[0.250, 0.750, 0.500], [0.000, 0.000, 0.000], [0.500, 0.500, 0.000], [0.750, 0.250, 0.500]]
}



No. 8
{
  "formula": "BeReSb2",
  "functional": "PBE-GGA",
  "state": "relaxed",
  "mass_density_g_cm3": 9.788,
  "vol_a3_per_cell": 74.4,
  "dft_energy_ev_per_atom": -5.470,
  "raw_formation_energy_ev_per_atom": 0.635,
  "total_magnetization_mub_per_fu": 0.0,
  "lattice": [[-0.407, -4.286, 1.642], [1.414, -2.342, 3.707], [-4.243, 1.051, 2.752]],
  "species": ["Sb", "Sb", "Be", "Re"],
  "frac_coords": [[0.973, 0.973, 0.008], [0.527, 0.527, 0.492], [0.750, 0.750, 0.750], [0.250, 0.250, 0.250]]
}



No. 9
{
  "formula": "BeReSb2",
  "functional": "PBE-GGA",
  "state": "relaxed",
  "mass_density_g_cm3": 9.113,
  "vol_a3_per_cell": 79.9,
  "dft_energy_ev_per_atom": -5.746,
  "raw_formation_energy_ev_per_atom": 0.359,
  "total_magnetization_mub_per_fu": 0.0,
  "lattice": [[7.067, 0.028, -0.002], [5.341, 4.628, 0.002], [-6.177, -2.398, 2.456]],
  "species": ["Sb", "Sb", "Be", "Re"],
  "frac_coords": [[0.998, 0.998, 0.000], [0.725, 0.225, 0.500], [0.448, 0.448, 0.000], [0.330, 0.830, 0.500]]
}



No. 10
{
  "formula": "BeReSb2",
  "functional": "PBE-GGA",
  "state": "relaxed",
  "mass_density_g_cm3": 10.039,
  "vol_a3_per_cell": 72.6,
  "dft_energy_ev_per_atom": -5.791,
  "raw_formation_energy_ev_per_atom": 0.314,
  "total_magnetization_mub_per_fu": 0.0,
  "lattice": [[-2.461, 3.312, 1.149], [-0.390, -1.422, 3.263], [3.644, 1.628, 3.111]],
  "species": ["Sb", "Sb", "Re", "Be"],
  "frac_coords": [[0.000, 0.972, 0.930], [0.500, 0.272, 0.330], [0.500, 0.563, 0.749], [0.000, 0.693, 0.491]]
}



No. 11
{
  "formula": "BeReSb2",
  "functional": "PBE-GGA",
  "state": "relaxed",
  "mass_density_g_cm3": 9.973,
  "vol_a3_per_cell": 73.0,
  "dft_energy_ev_per_atom": -5.452,
  "raw_formation_energy_ev_per_atom": 0.653,
  "total_magnetization_mub_per_fu": 0.0,
  "lattice": [[-1.084, 2.640, 1.649], [-2.769, -0.020, -1.788], [-2.901, -4.024, 4.537]],
  "species": ["Sb", "Sb", "Be", "Re"],
  "frac_coords": [[0.000, 0.000, 0.994], [0.000, 0.000, 0.506], [0.500, 0.500, 0.250], [0.500, 0.500, 0.750]]
}



No. 12
{
  "formula": "BeReSb",
  "functional": "PBE-GGA",
  "state": "relaxed",
  "mass_density_g_cm3": 11.235,
  "vol_a3_per_cell": 46.8,
  "dft_energy_ev_per_atom": -6.235,
  "de_polymorph_mev_per_atom": 372.5,
  "raw_formation_energy_ev_per_atom": 0.530,
  "total_magnetization_mub_per_fu": 0.0,
  "lattice": [[-1.095, 3.829, 0.697], [-0.176, -2.727, 2.979], [3.111, 0.734, 0.856]],
  "species": ["Sb", "Re", "Be"],
  "frac_coords": [[0.333, 0.667, 0.667], [0.667, 0.333, 0.167], [0.000, 0.000, 0.167]]
}



No. 13
{
  "formula": "BeReSb",
  "functional": "PBE-GGA",
  "state": "relaxed",
  "mass_density_g_cm3": 10.558,
  "vol_a3_per_cell": 49.9,
  "dft_energy_ev_per_atom": -5.999,
  "de_polymorph_mev_per_atom": 608.1,
  "raw_formation_energy_ev_per_atom": 0.766,
  "total_magnetization_mub_per_fu": 0.0,
  "lattice": [[6.675, 0.024, -0.020], [5.907, 2.777, 0.001], [0.768, -0.515, 2.704]],
  "species": ["Be", "Re", "Sb"],
  "frac_coords": [[0.977, 0.977, 0.023], [0.357, 0.357, 0.643], [0.666, 0.666, 0.334]]
}



No. 14
{
  "formula": "BeReSb2",
  "functional": "PBE-GGA",
  "state": "relaxed",
  "mass_density_g_cm3": 9.880,
  "vol_a3_per_cell": 73.7,
  "dft_energy_ev_per_atom": -5.084,
  "raw_formation_energy_ev_per_atom": 1.020,
  "total_magnetization_mub_per_fu": 0.3,
  "lattice": [[4.707, 0.000, 0.000], [2.353, 4.076, 0.000], [2.353, 1.359, 3.843]],
  "species": ["Re", "Sb", "Sb", "Be"],
  "frac_coords": [[0.250, 0.250, 0.250], [0.000, 0.000, 0.000], [0.750, 0.750, 0.750], [0.500, 0.500, 0.500]]
}



No. 15
{
  "formula": "BeReSb2",
  "functional": "PBE-GGA",
  "state": "relaxed",
  "mass_density_g_cm3": 8.708,
  "vol_a3_per_cell": 83.7,
  "dft_energy_ev_per_atom": -5.777,
  "raw_formation_energy_ev_per_atom": 0.328,
  "total_magnetization_mub_per_fu": 0.0,
  "lattice": [[-2.853, 4.561, 4.097], [-5.484, 1.746, 3.552], [-2.601, 1.245, 6.117]],
  "species": ["Sb", "Sb", "Re", "Be"],
  "frac_coords": [[0.030, 0.030, 0.030], [0.213, 0.213, 0.213], [0.786, 0.786, 0.786], [0.470, 0.470, 0.470]]
}